First-principles (PBE) data for crystalline Nb2AlH2 at its relaxed geometry, as listed in the Alexandria database.

The density of states at the Fermi level comes out at 0.82 states/eV per atom. The raw total energy comes out at -6.34 eV/atom. Its density is 6.2 g/cm3.

The space group is I4/mmm (No. 139) and the conventional cell measures 3.551, 3.551 and 9.185 Å, with angles of 90.00, 90.00 and 90.00 degrees. The inequivalent atoms are Nb at (0.000, 0.000, 0.161), Al at (0.000, 0.000, 0.500) and H at (0.000, 0.500, 0.250).